Entry 1:
An optimized crystal structure of KPdBr5. Source: the Alexandria database, functional PBE.

Properties
- energy above the lowest structure with this stoichiometry (eV per atom) = 0.000
- DOS(E_F) (states/eV/f.u.) = 8.0
- E_form (uncorrected) (eV per atom) = -0.597

```
data_KPdBr5
_chemical_formula_sum 'K4 Pd4 Br20'
_cell_length_a 13.5309
_cell_length_b 7.6013
_cell_length_c 10.0071
_cell_angle_alpha 90.00
_cell_angle_beta 110.22
_cell_angle_gamma 90.00
_space_group_name_H-M_alt 'C 1 2/c 1'
_space_group_IT_number 15
loop_
_space_group_symop_operation_xyz
'x,y,z'
'-x,-y,-z'
'-x,y,-z+1/2'
'x,-y,z+1/2'
'x+1/2,y+1/2,z'
'-x+1/2,-y+1/2,-z'
'-x+1/2,y+1/2,-z+1/2'
'x+1/2,-y+1/2,z+1/2'
loop_
_atom_site_label
_atom_site_fract_x
_atom_site_fract_y
_atom_site_fract_z
K1 0.0000 0.0253 0.2500
Pd1 0.0000 0.5000 0.0000
Br1 0.0000 0.4113 0.7500
Br2 0.1331 0.2601 0.0862
Br3 0.1430 0.2759 0.5397
```

Entry 2:
An optimized crystal structure of Ba3GaAs3. Source: the Alexandria database, functional PBE.

Properties
- energy of formation from the pure elements (eV/atom) = -1.008

```
data_Ba3GaAs3
_chemical_formula_sum 'Ba24 Ga8 As24'
_cell_length_a 13.5276
_cell_length_b 20.2522
_cell_length_c 6.8883
_cell_angle_alpha 90.00
_cell_angle_beta 90.00
_cell_angle_gamma 90.00
_space_group_name_H-M_alt 'P n m a'
_space_group_IT_number 62
loop_
_space_group_symop_operation_xyz
'x,y,z'
'-x,-y,-z'
'-x+1/2,-y,z+1/2'
'x+1/2,y,-z+1/2'
'x+1/2,-y+1/2,-z+1/2'
'-x+1/2,y+1/2,z+1/2'
'-x,y+1/2,-z'
'x,-y+1/2,z'
loop_
_atom_site_label
_atom_site_fract_x
_atom_site_fract_y
_atom_site_fract_z
Ba1 0.0106 0.0751 0.2266
Ba2 0.0202 0.2500 0.8360
Ba3 0.2322 0.2500 0.3143
Ba4 0.2350 0.0743 0.6893
Ga1 0.1274 0.6649 0.4833
As1 0.0162 0.5911 0.2736
As2 0.0224 0.7500 0.6745
As3 0.2292 0.7500 0.2937
As4 0.2404 0.5920 0.6930
```

Entry 3:
An optimized crystal structure of Zn2MoPI. Source: the Alexandria database, functional PBE.

Properties
- DOS(E_F) (states/eV/f.u.) = 2.5
- E_form (uncorrected) (eV per atom) = 1.719

```
data_Zn2MoPI
_chemical_formula_sum 'Zn2 Mo1 P1 I1'
_cell_length_a 5.1301
_cell_length_b 5.1301
_cell_length_c 5.3478
_cell_angle_alpha 90.00
_cell_angle_beta 90.00
_cell_angle_gamma 90.00
_space_group_name_H-M_alt 'P 4/m m m'
_space_group_IT_number 123
_space_group_name_Hall '-P 4 2'
loop_
_atom_site_label
_atom_site_fract_x
_atom_site_fract_y
_atom_site_fract_z
Zn1 0.0000 0.5000 0.0000
Mo1 0.0000 0.0000 0.5000
P1 0.5000 0.5000 0.5000
I1 0.5000 0.5000 0.0000
```

Entry 4:
An optimized crystal structure of MgCoMo2. Source: the Alexandria database, functional PBE.

Properties
- energy of formation from the pure elements (eV/atom) = 0.361
- DOS(E_F) (states/eV/f.u.) = 4.4

```
data_MgCoMo2
_chemical_formula_sum 'Mg3 Co3 Mo6'
_cell_length_a 2.7638
_cell_length_b 2.7638
_cell_length_c 27.7143
_cell_angle_alpha 90.00
_cell_angle_beta 90.00
_cell_angle_gamma 120.00
_space_group_name_H-M_alt 'R -3 m'
_space_group_IT_number 166
_space_group_name_Hall '-R 3 2"'
loop_
_atom_site_label
_atom_site_fract_x
_atom_site_fract_y
_atom_site_fract_z
Mg1 0.0000 0.0000 0.0000
Co1 0.0000 0.0000 0.5000
Mo1 0.0000 0.0000 0.2417
```

Entry 5:
An optimized crystal structure of Sr3NCl. Source: the Alexandria database, functional PBE.

Properties
- energy above the lowest structure with this stoichiometry (eV per atom) = 0.000
- DOS(E_F) (states/eV/f.u.) = 0.5
- E_form (uncorrected) (eV per atom) = -0.964

```
data_Sr3NCl
_chemical_formula_sum 'Sr6 N2 Cl2'
_cell_length_a 7.3065
_cell_length_b 7.3445
_cell_length_c 7.3752
_cell_angle_alpha 110.46
_cell_angle_beta 109.90
_cell_angle_gamma 107.49
_space_group_name_H-M_alt 'P 1'
_space_group_IT_number 1
loop_
_space_group_symop_operation_xyz
'x,y,z'
loop_
_atom_site_label
_atom_site_fract_x
_atom_site_fract_y
_atom_site_fract_z
Sr1 0.0000 0.0000 0.0000
Sr2 0.0856 0.5862 0.1735
Sr3 0.4019 0.5116 0.6444
Sr4 0.5437 0.1997 0.9186
Sr5 0.7117 0.8677 0.2555
Sr6 0.8442 0.4536 0.5314
N1 0.7630 0.6315 0.9624
N2 0.8844 0.2541 0.2090
Cl1 0.0719 0.2491 0.7517
Cl2 0.4056 0.0840 0.4208
```

Entry 6:
An optimized crystal structure of Dy10Y4Er. Source: the Alexandria database, functional PBE.

Properties
- energy of formation from the pure elements (eV/atom) = 0.750
- DOS(E_F) (states/eV/f.u.) = 16.5

```
data_Dy10Y4Er
_chemical_formula_sum 'Dy20 Y8 Er2'
_cell_length_a 12.1562
_cell_length_b 12.1562
_cell_length_c 7.6876
_cell_angle_alpha 90.00
_cell_angle_beta 90.00
_cell_angle_gamma 90.00
_space_group_name_H-M_alt 'I 4/m'
_space_group_IT_number 87
_space_group_name_Hall '-I 4'
loop_
_atom_site_label
_atom_site_fract_x
_atom_site_fract_y
_atom_site_fract_z
Dy1 0.0000 0.5000 0.2500
Dy2 0.0989 0.8010 0.2485
Y1 0.1006 0.2993 0.5000
Er1 0.0000 0.0000 0.0000
```

Entry 7:
An optimized crystal structure of Nd2Y6Th3. Source: the Alexandria database, functional PBE.

Properties
- energy of formation from the pure elements (eV/atom) = 0.161
- DOS(E_F) (states/eV/f.u.) = 16.9

```
data_Nd2Y6Th3
_chemical_formula_sum 'Nd4 Y12 Th6'
_cell_length_a 6.0239
_cell_length_b 11.1196
_cell_length_c 11.3274
_cell_angle_alpha 90.00
_cell_angle_beta 97.09
_cell_angle_gamma 90.00
_space_group_name_H-M_alt 'C 1 2/m 1'
_space_group_IT_number 12
loop_
_space_group_symop_operation_xyz
'x,y,z'
'-x,-y,-z'
'-x,y,-z'
'x,-y,z'
'x+1/2,y+1/2,z'
'-x+1/2,-y+1/2,-z'
'-x+1/2,y+1/2,-z'
'x+1/2,-y+1/2,z'
loop_
_atom_site_label
_atom_site_fract_x
_atom_site_fract_y
_atom_site_fract_z
Nd1 0.0000 0.1449 0.0000
Y1 0.0906 0.3396 0.2394
Y2 0.1005 0.0000 0.2671
Th1 0.0000 0.1729 0.5000
Th2 0.0000 0.5000 0.5000
```

Entry 8:
An optimized crystal structure of IrSI2N. Source: the Alexandria database, functional PBE.

Properties
- energy above the lowest structure with this stoichiometry (eV per atom) = 0.000
- DOS(E_F) (states/eV/f.u.) = 4.3
- E_form (uncorrected) (eV per atom) = 0.747

```
data_IrSI2N
_chemical_formula_sum 'Ir1 S1 I2 N1'
_cell_length_a 5.6011
_cell_length_b 5.6011
_cell_length_c 3.6944
_cell_angle_alpha 90.00
_cell_angle_beta 90.00
_cell_angle_gamma 90.00
_space_group_name_H-M_alt 'P 4/m m m'
_space_group_IT_number 123
_space_group_name_Hall '-P 4 2'
loop_
_atom_site_label
_atom_site_fract_x
_atom_site_fract_y
_atom_site_fract_z
Ir1 0.0000 0.0000 0.0000
S1 0.5000 0.5000 0.5000
I1 0.0000 0.5000 0.0000
N1 0.0000 0.0000 0.5000
```

Entry 9:
An optimized crystal structure of TmNiIr. Source: the Alexandria database, functional PBE.

Properties
- energy of formation from the pure elements (eV/atom) = -0.578
- DOS(E_F) (states/eV/f.u.) = 1.2

```
data_TmNiIr
_chemical_formula_sum 'Tm1 Ni1 Ir1'
_cell_length_a 4.1147
_cell_length_b 4.1147
_cell_length_c 3.6912
_cell_angle_alpha 90.00
_cell_angle_beta 90.00
_cell_angle_gamma 120.00
_space_group_name_H-M_alt 'P -6 m 2'
_space_group_IT_number 187
_space_group_name_Hall 'P -6 2'
loop_
_atom_site_label
_atom_site_fract_x
_atom_site_fract_y
_atom_site_fract_z
Tm1 0.0000 0.0000 0.0000
Ni1 0.3333 0.6667 0.5000
Ir1 0.6667 0.3333 0.5000
```

Entry 10:
An optimized crystal structure of Hf2BCl. Source: the Alexandria database, functional PBE.

Properties
- energy above the lowest structure with this stoichiometry (eV per atom) = 0.000
- DOS(E_F) (states/eV/f.u.) = 1.6
- E_form (uncorrected) (eV per atom) = -0.130

```
data_Hf2BCl
_chemical_formula_sum 'Hf8 B4 Cl4'
_cell_length_a 5.4973
_cell_length_b 5.4973
_cell_length_c 10.8443
_cell_angle_alpha 90.00
_cell_angle_beta 90.00
_cell_angle_gamma 90.00
_space_group_name_H-M_alt 'I -4 2 d'
_space_group_IT_number 122
_space_group_name_Hall 'I -4 2bw'
loop_
_atom_site_label
_atom_site_fract_x
_atom_site_fract_y
_atom_site_fract_z
Hf1 0.1924 0.2500 0.1250
B1 0.0000 0.0000 0.0000
Cl1 0.0000 0.0000 0.5000
```

Entry 11:
An optimized crystal structure of VCuPt2Pb. Source: the Alexandria database, functional PBE.

Properties
- energy of formation from the pure elements (eV/atom) = 0.584
- DOS(E_F) (states/eV/f.u.) = 4.1

```
data_VCuPt2Pb
_chemical_formula_sum 'V1 Cu1 Pt2 Pb1'
_cell_length_a 4.6881
_cell_length_b 4.6881
_cell_length_c 4.5915
_cell_angle_alpha 90.00
_cell_angle_beta 90.00
_cell_angle_gamma 90.00
_space_group_name_H-M_alt 'P 4/m m m'
_space_group_IT_number 123
_space_group_name_Hall '-P 4 2'
loop_
_atom_site_label
_atom_site_fract_x
_atom_site_fract_y
_atom_site_fract_z
V1 0.0000 0.0000 0.0000
Cu1 0.0000 0.0000 0.5000
Pt1 0.0000 0.5000 0.0000
Pb1 0.5000 0.5000 0.5000
```

Entry 12:
An optimized crystal structure of Zr3MnC. Source: the Alexandria database, functional PBE.

Properties
- energy of formation from the pure elements (eV/atom) = 0.019
- energy above the lowest structure with this stoichiometry (eV per atom) = 0.000
- DOS(E_F) (states/eV/f.u.) = 4.9

```
data_Zr3MnC
_chemical_formula_sum 'Zr3 Mn1 C1'
_cell_length_a 4.4864
_cell_length_b 4.4864
_cell_length_c 4.4864
_cell_angle_alpha 90.00
_cell_angle_beta 90.00
_cell_angle_gamma 90.00
_space_group_name_H-M_alt 'P m -3 m'
_space_group_IT_number 221
_space_group_name_Hall '-P 4 2 3'
loop_
_atom_site_label
_atom_site_fract_x
_atom_site_fract_y
_atom_site_fract_z
Zr1 0.0000 0.0000 0.5000
Mn1 0.5000 0.5000 0.5000
C1 0.0000 0.0000 0.0000
```

Entry 13:
An optimized crystal structure of LiCo2P. Source: the Alexandria database, functional PBE.

Properties
- energy of formation from the pure elements (eV/atom) = -0.129
- DOS(E_F) (states/eV/f.u.) = 4.3

```
data_LiCo2P
_chemical_formula_sum 'Li1 Co2 P1'
_cell_length_a 2.6119
_cell_length_b 3.5070
_cell_length_c 4.7194
_cell_angle_alpha 90.00
_cell_angle_beta 90.00
_cell_angle_gamma 90.00
_space_group_name_H-M_alt 'P m m 2'
_space_group_IT_number 25
loop_
_space_group_symop_operation_xyz
'x,y,z'
'-x,-y,z'
'-x,y,z'
'x,-y,z'
loop_
_atom_site_label
_atom_site_fract_x
_atom_site_fract_y
_atom_site_fract_z
Li1 0.0000 0.0000 0.0000
Co1 0.0000 0.0000 0.4916
Co2 0.5000 0.5000 0.7591
P1 0.5000 0.5000 0.2756
```